Entry 1:
Computed, not measured: a relaxed LaY2Se crystal at the GGA-PBEsol level of DFT.

Calculated values
Uncorrected energy = -6.451 eV/atom
Uncorrected formation energy = -741 meV per atom
Mass density = 6.2 Mg/m³

a = 3.5663 Å, b = 3.5663 Å, c = 8.3753 Å
α = 90.00°, β = 90.00°, γ = 90.00°
Closest atoms and distances in Å follow each position.
Space group P4/mmm (No. 123)
Asymmetric unit:
La  0.0000  0.0000  0.0000 [1 per cell]  8 Y 3.53, 4 La 3.57
Y  0.5000  0.5000  0.2953 [2 per cell]  4 Se 3.05
Se  0.0000  0.0000  0.5000 [1 per cell]  8 Y 3.05

***

Entry 2:
Computed, not measured: a relaxed LaZnSe3 crystal at the GGA-PBEsol level of DFT.

Calculated values
Uncorrected energy = -4.542 eV/atom
Uncorrected formation energy = -846 meV per atom
Mass density = 6.3 Mg/m³

a = 4.8778 Å, b = 4.8778 Å, c = 4.8778 Å
α = 90.00°, β = 90.00°, γ = 90.00°
Closest atoms and distances in Å follow each position.
Space group Pm-3m (No. 221)
Asymmetric unit:
La  0.0000  0.0000  0.0000 [1 per cell]  12 Se 3.45
Zn  0.5000  0.5000  0.5000 [1 per cell]  6 Se 2.44
Se  0.0000  0.5000  0.5000 [3 per cell]  2 Zn 2.44

***

Entry 3:
Computed, not measured: a relaxed LaZnSe2 crystal at the GGA-PBEsol level of DFT.

Calculated values
Uncorrected energy = -4.725 eV/atom
Uncorrected formation energy = -1068 meV per atom
Mass density = 6.4 Mg/m³

a = 7.2069 Å, b = 7.2069 Å, c = 7.2330 Å
α = 90.00°, β = 90.00°, γ = 90.00°
Closest atoms and distances in Å follow each position.
Space group I-42d (No. 122)
Asymmetric unit:
La  0.0000  0.0000  0.0000 [4 per cell]  4 Se 3.01
Zn  0.0000  0.0000  0.5000 [4 per cell]  4 Se 2.43
Se  0.1891  0.2500  0.6250 [8 per cell]  2 Zn 2.43

***

Entry 4:
Computed, not measured: a relaxed LaZn3Se crystal at the GGA-PBEsol level of DFT.

Calculated values
Uncorrected energy = -1.728 eV/atom
Uncorrected formation energy = 1060 meV per atom
Mass density = 4.0 Mg/m³

a = 5.5686 Å, b = 5.5686 Å, c = 5.5686 Å
α = 90.00°, β = 90.00°, γ = 90.00°
Closest atoms and distances in Å follow each position.
Space group Pm-3m (No. 221)
Asymmetric unit:
La  0.0000  0.0000  0.0000 [1 per cell]  6 Zn 2.78
Zn  0.0000  0.0000  0.5000 [3 per cell]  2 La 2.78
Se  0.5000  0.5000  0.5000 [1 per cell]  12 Zn 3.94

***

Entry 5:
Computed, not measured: a relaxed LaZnSe2 crystal at the GGA-PBEsol level of DFT.

Calculated values
Uncorrected energy = -4.958 eV/atom
Uncorrected formation energy = -1301 meV per atom
Mass density = 6.4 Mg/m³

a = 4.0323 Å, b = 4.1975 Å, c = 5.9120 Å
α = 90.00°, β = 109.81°, γ = 90.00°
Closest atoms and distances in Å follow each position.
Space group Pm (No. 6)
Asymmetric unit:
La  0.0000  0.0000  0.0000 [1 per cell]  7 Se 2.98-3.24, 2 Zn 3.30
Zn  0.6428  0.5000  0.5517 [1 per cell]  3 Se 2.46-2.59
Se  0.2865  0.0000  0.5829 [1 per cell]  2 Zn 2.59
Se  0.5584  0.5000  0.1200 [1 per cell]  1 Zn 2.46

***

Entry 6:
Computed, not measured: a relaxed La2ZrSe crystal at the GGA-PBEsol level of DFT.

Calculated values
Uncorrected energy = -6.507 eV/atom
Uncorrected formation energy = -599 meV per atom
Mass density = 6.5 Mg/m³

a = 3.7457 Å, b = 3.7457 Å, c = 28.3376 Å
α = 90.00°, β = 90.00°, γ = 120.00°
Closest atoms and distances in Å follow each position.
Space group R-3m (No. 166, hexagonal axes)
Asymmetric unit:
La  0.0000  0.0000  0.2395 [6 per cell]  3 Se 2.99
Zr  0.0000  0.0000  0.0000 [3 per cell]  6 La 3.43, 6 Zr 3.75
Se  0.0000  0.0000  0.5000 [3 per cell]  6 La 2.99

***

Entry 7:
Computed, not measured: a relaxed La2ZrSe5 crystal at the GGA-PBEsol level of DFT.

Calculated values
Uncorrected energy = -6.710 eV/atom
Uncorrected formation energy = -1831 meV per atom
Mass density = 6.6 Mg/m³

a = 11.7673 Å, b = 8.5333 Å, c = 7.6312 Å
α = 90.00°, β = 90.00°, γ = 90.00°
Closest atoms and distances in Å follow each position.
Space group Pnma (No. 62)
Asymmetric unit:
La  0.1711  0.9999  0.0643 [8 per cell]  8 Se 2.98-3.18
Zr  0.0117  0.2500  0.5766 [4 per cell]  7 Se 2.68-2.84
Se  0.0052  0.2500  0.9452 [4 per cell]  1 Zr 2.81, 4 La 2.98-3.03
Se  0.0707  0.5383  0.6817 [8 per cell]  2 Zr 2.68-2.84
Se  0.1952  0.2500  0.3592 [4 per cell]  1 Zr 2.72
Se  0.2113  0.7500  0.3438 [4 per cell]  1 Zr 2.69

***

Entry 8:
Computed, not measured: a relaxed La2ZrSe crystal at the GGA-PBEsol level of DFT.

Calculated values
Uncorrected energy = -6.445 eV/atom
Uncorrected formation energy = -536 meV per atom
Mass density = 7.2 Mg/m³

a = 3.4983 Å, b = 5.4301 Å, c = 5.4466 Å
α = 90.00°, β = 90.00°, γ = 90.00°
Closest atoms and distances in Å follow each position.
Space group Pmmm (No. 47)
Asymmetric unit:
La  0.0000  0.0000  0.0000 [1 per cell]  4 Se 3.23, 4 Zr 3.24, 2 La 3.50
La  0.0000  0.5000  0.5000 [1 per cell]  4 Zr 3.23, 4 Se 3.24, 2 La 3.50
Zr  0.5000  0.0000  0.5000 [1 per cell]  8 La 3.23-3.24, 2 Zr 3.50
Se  0.5000  0.5000  0.0000 [1 per cell]  8 La 3.23-3.24, 2 Se 3.50